{"formula": "CeBeSiOs", "functional": "GGA-PBE", "state": "optimized geometry", "lattice_angstrom": [[-1.2490, -1.2606, 3.6004], [-1.9085, -3.5143, 0.3450], [3.2937, -3.8827, 2.0207]], "species": ["Be", "Os", "Si", "Ce"], "frac_coords": [[0.6093, 0.6093, 0.1721], [0.2946, 0.2946, 0.1163], [0.0123, 0.0123, 0.9632], [0.8097, 0.8097, 0.5708]], "mass_density_g_cm3": 8.8, "spacegroup": "R3m, No. 160", "dft_energy_ev_per_atom": -6.999, "e_form_raw_mev_per_atom": -421, "vol_a3_per_cell": 69.3, "n_ef_per_ev_cell": 5.0}